1.
Compound: TbPm2Pr
Source: Alexandria
Functional: PBE
Structure: optimized geometry

Output
For the calculated formation energy, the calculation gives 0.065 eV/f.u. The total energy comes out at -18.8 eV/f.u. As for the space group: P4/mmm, No. 123. The density of states at the Fermi level is 6.6 states/eV per cell.

Lattice parameters (Å, degrees): 5.1593 5.1468 5.1468 90.00 90.00 90.00
Atoms (fractional coordinates):
Pr 0.5000 0.0000 0.0000
Tb 0.5000 0.5000 0.5000
Pm 0.0000 0.0000 0.5000
Pm 0.0000 0.5000 0.0000

2.
Compound: TbPm12Pr5
Source: Alexandria
Functional: PBE
Structure: optimized geometry

Output
For the calculated formation energy, the calculation gives 1.458 eV/f.u. The total energy comes out at -84.1 eV/f.u. As for the space group: C2/m, No. 12. The density of states at the Fermi level is 28.2 states/eV per cell.

Lattice parameters (Å, degrees): 12.0177 10.6324 5.9313 89.97 89.94 55.59
Atoms (fractional coordinates):
Tb 0.0000 0.0000 0.0000
Pm 0.8020 0.0000 0.4524
Pm 0.1980 0.0000 0.5476
Pm 0.7016 0.0000 0.9516
Pm 0.2984 0.0000 0.0484
Pm 0.3328 0.6429 0.9915
Pm 0.0244 0.6429 0.0085
Pm 0.9756 0.3572 0.9915
Pm 0.6672 0.3572 0.0085
Pm 0.4745 0.3583 0.5086
Pm 0.8328 0.6417 0.5086
Pm 0.1672 0.3583 0.4914
Pm 0.5255 0.6417 0.4914
Pr 0.5000 0.0000 0.5000
Pr 0.1365 0.7269 0.5000
Pr 0.8635 0.2731 0.5000
Pr 0.6385 0.7229 0.0000
Pr 0.3615 0.2771 0.0000

3.
Compound: Tb4Pm3Pr5
Source: Alexandria
Functional: PBE
Structure: optimized geometry

Output
For the calculated formation energy, the calculation gives 0.167 eV/f.u. The total energy comes out at -56.5 eV/f.u. As for the space group: P-1, No. 2. The density of states at the Fermi level is 16.6 states/eV per cell.

Lattice parameters (Å, degrees): 7.2857 11.5389 13.1613 151.30 56.32 129.23
Atoms (fractional coordinates):
Tb 0.9174 0.8318 0.6670
Tb 0.8368 0.6701 0.8338
Tb 0.1632 0.3299 0.1662
Tb 0.0826 0.1682 0.3330
Pm 0.5878 0.1690 0.3335
Pm 0.0000 0.0000 0.5000
Pm 0.4122 0.8310 0.6665
Pr 0.3357 0.6669 0.8316
Pr 0.5000 0.0000 0.5000
Pr 0.7486 0.5011 0.0008
Pr 0.2514 0.4989 0.9992
Pr 0.6643 0.3331 0.1684

4.
Compound: Tb2Pm8Pr3
Source: Alexandria
Functional: PBE
Structure: optimized geometry

Output
For the calculated formation energy, the calculation gives 1.969 eV/f.u. The total energy comes out at -59.6 eV/f.u. As for the space group: C2/m, No. 12. The density of states at the Fermi level is 22.2 states/eV per cell.

Lattice parameters (Å, degrees): 6.2387 8.9180 8.9180 83.67 72.87 72.87
Atoms (fractional coordinates):
Tb 0.3545 0.2892 0.2892
Tb 0.6455 0.7108 0.7108
Pm 0.2168 0.5558 0.5558
Pm 0.7832 0.4442 0.4442
Pm 0.9490 0.1561 0.1561
Pm 0.0510 0.8439 0.8439
Pm 0.6755 0.5694 0.0820
Pm 0.6755 0.0820 0.5694
Pm 0.3245 0.9180 0.4306
Pm 0.3245 0.4306 0.9180
Pr 0.5000 0.0000 0.0000
Pr 0.0000 0.2425 0.7575
Pr 0.0000 0.7575 0.2425

5.
Compound: Tb5Pm2Pr
Source: Alexandria
Functional: PBE
Structure: optimized geometry

Output
For the calculated formation energy, the calculation gives 1.335 eV/f.u. The total energy comes out at -36.1 eV/f.u. As for the space group: C2/c, No. 15. The density of states at the Fermi level is 24.3 states/eV per cell.

Lattice parameters (Å, degrees): 10.0074 6.5244 10.9886 119.40 117.09 90.00
Atoms (fractional coordinates):
Tb 0.4895 0.4444 0.8030
Tb 0.9431 0.7500 0.0000
Tb 0.0569 0.2500 0.0000
Tb 0.8944 0.6284 0.6077
Tb 0.1056 0.3716 0.3923
Tb 0.7133 0.1284 0.6077
Tb 0.2867 0.8716 0.3923
Tb 0.5105 0.5556 0.1970
Tb 0.3134 0.9444 0.8030
Tb 0.6866 0.0556 0.1970
Pm 0.1766 0.4610 0.8480
Pm 0.6714 0.9610 0.8480
Pm 0.8234 0.5390 0.1520
Pm 0.3286 0.0390 0.1520
Pr 0.0000 0.0000 0.5000
Pr 0.5000 0.5000 0.5000

6.
Compound: Tb5Pm2Pr
Source: Alexandria
Functional: PBE
Structure: optimized geometry

Output
For the calculated formation energy, the calculation gives 0.127 eV/f.u. The total energy comes out at -37.3 eV/f.u. As for the space group: Pbam, No. 55. The density of states at the Fermi level is 22.3 states/eV per cell.

Lattice parameters (Å, degrees): 5.0887 7.2085 14.4221 90.00 90.00 90.00
Atoms (fractional coordinates):
Tb 0.0000 0.0000 0.0000
Tb 0.0000 0.5000 0.5000
Tb 0.0000 0.5009 0.7489
Tb 0.0000 0.4991 0.2511
Tb 0.0000 0.9991 0.2489
Tb 0.0000 0.0009 0.7511
Tb 0.5000 0.2502 0.8742
Tb 0.5000 0.7498 0.1258
Tb 0.5000 0.2498 0.3742
Tb 0.5000 0.7502 0.6258
Pm 0.5000 0.2515 0.6259
Pm 0.5000 0.7485 0.3741
Pm 0.5000 0.2485 0.1259
Pm 0.5000 0.7515 0.8741
Pr 0.0000 0.0000 0.5000
Pr 0.0000 0.5000 0.0000